Compound: CsGa2Au3
Source: Alexandria
Functional: SCAN
Structure: PBEsol geometry

## Properties
Raw total energy ... -46.7579 eV/atom
Energy of formation ... -429 meV/atom
Total magnetic moment ... 0.00 μB/f.u.

```
data_CsGa2Au3
_symmetry_space_group_name_H-M 'P n m a'
_symmetry_Int_Tables_number 62
_cell_length_a 13.3995
_cell_length_b 5.6282
_cell_length_c 7.0722
_cell_angle_alpha 90.00
_cell_angle_beta 90.00
_cell_angle_gamma 90.00
loop_
_symmetry_equiv_pos_as_xyz
'x,y,z'
'-x,-y,-z'
'-x+1/2,-y,z+1/2'
'x+1/2,y,-z+1/2'
'x+1/2,-y+1/2,-z+1/2'
'-x+1/2,y+1/2,z+1/2'
'-x,y+1/2,-z'
'x,-y+1/2,z'
loop_
_atom_site_label
_atom_site_type_symbol
_atom_site_fract_x
_atom_site_fract_y
_atom_site_fract_z
_atom_site_occupancy
Cs1 Cs 0.0697 0.2500 0.0935 1
Ga1 Ga 0.1549 0.5018 0.5973 1
Au1 Au 0.0056 0.7500 0.4267 1
Au2 Au 0.2105 0.7500 0.2942 1
Au3 Au 0.2182 0.7500 0.8820 1
```